[1]
# Sc2HgCl

Sc2HgCl after structural relaxation (PBE-GGA, Alexandria via LeMat-Bulk).

Unit cell a=5.1350 b=5.5576 c=6.1250 alpha=90.00 beta=90.00 gamma=90.00
With the nearest neighbours (Å) after each atom.
Fractional coordinates of all 8 atoms:
Sc: 0.2500 0.0000 0.1541  2 Cl 2.83, 4 Hg 2.85-3.12
Sc: 0.2500 0.5000 0.8237  3 Cl 2.58-2.60
Sc: 0.7500 0.0000 0.8459  2 Cl 2.83, 4 Hg 2.85-3.12
Sc: 0.7500 0.5000 0.1763  3 Cl 2.58-2.60
Hg: 0.2500 0.0000 0.6448  6 Sc 2.85-3.12, 2 Hg 3.12
Hg: 0.7500 0.0000 0.3552  6 Sc 2.85-3.12, 2 Hg 3.12
Cl: 0.2500 0.5000 0.2445  5 Sc 2.58-2.83
Cl: 0.7500 0.5000 0.7555  5 Sc 2.58-2.83

## Properties
ρ = 6.2 g cm⁻³
SG = Pmma (51)
ΔE_f (raw) = -0.7061 eV/atom
Excess energy over the best structure of this formula in the dataset = 87 meV per atom
Volume = 21.85 Å³ per atom

=====

[2]
# CeErGaGe

CeErGaGe after structural relaxation (PBE-GGA, Alexandria via LeMat-Bulk).

Unit cell a=5.0796 b=5.0796 c=5.0796 alpha=60.00 beta=60.00 gamma=60.00
With the nearest neighbours (Å) after each atom.
Fractional coordinates of all 4 atoms:
Ce: 0.0000 0.0000 0.0000  4 Ge 3.11, 4 Ga 3.11
Er: 0.5000 0.5000 0.5000  4 Ge 3.11, 4 Ga 3.11
Ga: 0.2500 0.2500 0.2500  4 Ce 3.11, 4 Er 3.11
Ge: 0.7500 0.7500 0.7500  4 Ce 3.11, 4 Er 3.11

## Properties
Formation energy from the elements = -0.5589 eV/atom
ρ = 8.1 g cm⁻³
SG = F-43m (216)
Excess energy over the best structure of this formula in the dataset = 116 meV per atom
Volume = 23.17 Å³ per atom

=====

[3]
# TiRuSF2

TiRuSF2 after structural relaxation (PBE-GGA, Alexandria via LeMat-Bulk).

Unit cell a=3.8331 b=3.8331 c=5.3803 alpha=90.00 beta=90.00 gamma=90.00
With the nearest neighbours (Å) after each atom.
Fractional coordinates of all 5 atoms:
Ti: 0.0000 0.0000 0.0000  2 S 2.69, 4 Ru 2.71
Ru: 0.5000 0.5000 0.0000  4 Ti 2.71
S: 0.0000 0.0000 0.5000  4 F 1.92
F: 0.0000 0.5000 0.5000  2 S 1.92
F: 0.5000 0.0000 0.5000  2 S 1.92

## Properties
ρ = 4.6 g cm⁻³
SG = P4/mmm (123)
ΔE_f (raw) = 0.0901 eV/atom
Volume = 15.81 Å³ per atom

=====

[4]
# Rb3Ac2TmSe6

Rb3Ac2TmSe6 after structural relaxation (PBE-GGA, Alexandria via LeMat-Bulk).

Unit cell a=7.7498 b=7.7498 c=8.4468 alpha=98.83 beta=98.83 gamma=120.01
With the nearest neighbours (Å) after each atom.
Fractional coordinates of all 12 atoms:
Rb: 0.0000 0.0000 0.0000  6 Se 3.47-3.65
Rb: 0.3316 0.6684 0.0000  6 Se 3.47-3.63
Rb: 0.6684 0.3316 0.0000  6 Se 3.47-3.63
Ac: 0.1665 0.8335 0.5000  6 Se 3.12-3.13
Ac: 0.8335 0.1665 0.5000  6 Se 3.12-3.13
Tm: 0.5000 0.5000 0.5000  6 Se 2.91
Se: 0.1206 0.4327 0.2982  1 Tm 2.91, 2 Ac 3.13
Se: 0.2559 0.2559 0.7018  1 Tm 2.91, 2 Ac 3.12
Se: 0.4327 0.1206 0.2982  1 Tm 2.91, 2 Ac 3.13
Se: 0.5673 0.8794 0.7018  1 Tm 2.91, 2 Ac 3.13
Se: 0.7441 0.7441 0.2982  1 Tm 2.91, 2 Ac 3.12
Se: 0.8794 0.5673 0.7018  1 Tm 2.91, 2 Ac 3.13

## Properties
ρ = 5.4 g cm⁻³
SG = C2/m (12)
ΔE_f (raw) = -1.7632 eV/atom
Volume = 34.84 Å³ per atom

=====

[5]
# RbNaIn2Pd

RbNaIn2Pd after structural relaxation (PBE-GGA, Alexandria via LeMat-Bulk).

Unit cell a=5.2520 b=5.2520 c=5.7863 alpha=90.00 beta=90.00 gamma=90.00
With the nearest neighbours (Å) after each atom.
Fractional coordinates of all 5 atoms:
Rb: 0.0000 0.0000 0.0000  4 Na 3.71, 8 In 3.91
Na: 0.5000 0.5000 0.0000  2 Pd 2.89
In: 0.0000 0.5000 0.5000  2 Pd 2.63
In: 0.5000 0.0000 0.5000  2 Pd 2.63
Pd: 0.5000 0.5000 0.5000  4 In 2.63, 2 Na 2.89

## Properties
Formation energy from the elements = -0.2062 eV/atom
ρ = 4.6 g cm⁻³
SG = P4/mmm (123)
Volume = 31.92 Å³ per atom

=====

[6]
# HfNiHgN2

HfNiHgN2 after structural relaxation (PBE-GGA, Alexandria via LeMat-Bulk).

Unit cell a=4.0185 b=4.0185 c=5.6796 alpha=90.00 beta=90.00 gamma=90.00
With the nearest neighbours (Å) after each atom.
Fractional coordinates of all 5 atoms:
Hf: 0.0000 0.0000 0.0000  2 Hg 2.84, 4 Ni 2.84
Ni: 0.5000 0.5000 0.0000  4 Hf 2.84
Hg: 0.0000 0.0000 0.5000  4 N 2.01
N: 0.0000 0.5000 0.5000  2 Hg 2.01
N: 0.5000 0.0000 0.5000  2 Hg 2.01

## Properties
ρ = 8.4 g cm⁻³
SG = P4/mmm (123)
ΔE_f (raw) = 2.3238 eV/atom
Volume = 18.34 Å³ per atom

=====

[7]
# Sr4NdTi3O12

Sr4NdTi3O12 after structural relaxation (PBE-GGA, Alexandria via LeMat-Bulk).

Unit cell a=7.1171 b=7.1171 c=7.1171 alpha=109.47 beta=109.47 gamma=109.47
With the nearest neighbours (Å) after each atom.
Fractional coordinates of all 20 atoms:
Sr: 0.0000 0.0000 0.5000  12 O 2.91
Sr: 0.0000 0.5000 0.0000  12 O 2.91
Sr: 0.5000 0.0000 0.0000  12 O 2.91
Sr: 0.5000 0.5000 0.5000  12 O 2.91
Nd: 0.0000 0.0000 0.0000  6 O 2.24
Ti: 0.0000 0.5000 0.5000  6 O 1.87-2.05
Ti: 0.5000 0.0000 0.5000  6 O 1.87-2.05
Ti: 0.5000 0.5000 0.0000  6 O 1.87-2.05
O: 0.0000 0.2723 0.2723  1 Ti 1.87
O: 0.0000 0.7277 0.7277  1 Ti 1.87
O: 0.2500 0.5000 0.7500  2 Ti 2.05
O: 0.2500 0.7500 0.5000  2 Ti 2.05
O: 0.2723 0.0000 0.2723  1 Ti 1.87
O: 0.2723 0.2723 0.0000  1 Ti 1.87
O: 0.5000 0.2500 0.7500  2 Ti 2.05
O: 0.5000 0.7500 0.2500  2 Ti 2.05
O: 0.7277 0.0000 0.7277  1 Ti 1.87
O: 0.7277 0.7277 0.0000  1 Ti 1.87
O: 0.7500 0.2500 0.5000  2 Ti 2.05
O: 0.7500 0.5000 0.2500  2 Ti 2.05

## Properties
ρ = 5.0 g cm⁻³
SG = Im-3m (229)
ΔE_f (raw) = -2.9096 eV/atom
Volume = 13.88 Å³ per atom

=====

[8]
# PrReSi

PrReSi after structural relaxation (PBE-GGA, Alexandria via LeMat-Bulk).

Unit cell a=6.9511 b=6.9511 c=4.3917 alpha=90.00 beta=90.00 gamma=120.00
With the nearest neighbours (Å) after each atom.
Fractional coordinates of all 9 atoms:
Pr: 0.0000 0.5783 0.0000  5 Si 2.93-3.02
Pr: 0.4217 0.4217 0.0000  5 Si 2.93-3.02
Pr: 0.5783 0.0000 0.0000  5 Si 2.93-3.02
Re: 0.0000 0.2173 0.5000  2 Re 2.62, 4 Si 2.67-2.81
Re: 0.2173 0.0000 0.5000  2 Re 2.62, 4 Si 2.67-2.81
Re: 0.7827 0.7827 0.5000  2 Re 2.62, 4 Si 2.67-2.81
Si: 0.0000 0.0000 0.0000  6 Re 2.67, 3 Pr 2.93
Si: 0.3333 0.6667 0.5000  3 Re 2.81, 6 Pr 3.02
Si: 0.6667 0.3333 0.5000  3 Re 2.81, 6 Pr 3.02

## Properties
ρ = 9.6 g cm⁻³
SG = P-62m (189)
ΔE_f (raw) = -0.1267 eV/atom
Volume = 20.42 Å³ per atom

=====

[9]
# TlSnPb2

TlSnPb2 after structural relaxation (PBE-GGA, Alexandria via LeMat-Bulk).

Unit cell a=8.7056 b=8.7056 c=8.7056 alpha=28.34 beta=28.34 gamma=28.34
With the nearest neighbours (Å) after each atom.
Fractional coordinates of all 4 atoms:
Tl: 0.0000 0.0000 0.0000  6 Pb 3.35
Sn: 0.5000 0.5000 0.5000  6 Pb 3.11
Pb: 0.2424 0.2424 0.2424  3 Sn 3.11, 3 Tl 3.35
Pb: 0.7576 0.7576 0.7576  3 Sn 3.11, 3 Tl 3.35

## Properties
Formation energy from the elements = 0.1319 eV/atom
ρ = 9.3 g cm⁻³
SG = R-3m (166)
Excess energy over the best structure of this formula in the dataset = 130 meV per atom
Volume = 32.84 Å³ per atom

=====

[10]
# ZnPSe4

ZnPSe4 after structural relaxation (PBE-GGA, Alexandria via LeMat-Bulk).

Unit cell a=5.6281 b=5.6281 c=5.6281 alpha=60.00 beta=60.00 gamma=60.00
With the nearest neighbours (Å) after each atom.
Fractional coordinates of all 6 atoms:
Zn: 0.0000 0.0000 0.0000  12 Se 3.30, 4 P 3.45
P: 0.7500 0.7500 0.7500  12 Se 3.30, 4 Zn 3.45
Se: 0.3746 0.3746 0.3746  6 Se 2.80-2.82
Se: 0.3746 0.3746 0.8762  6 Se 2.80-2.82
Se: 0.3746 0.8762 0.3746  6 Se 2.80-2.82
Se: 0.8762 0.3746 0.3746  6 Se 2.80-2.82

## Properties
ρ = 5.4 g cm⁻³
SG = F-43m (216)
ΔE_f (raw) = 0.8335 eV/atom
Excess energy over the best structure of this formula in the dataset = 994 meV per atom
Volume = 21.01 Å³ per atom